DFT (PBE) results for a relaxed Cr2FeNiGe crystal.

The structure belongs to space group P4/mmm (No. 123); the cell edges are 4.520, 4.520 and 4.301 Å and the angles 90.00°, 90.00° and 90.00°. Symmetry generates all atoms from Cr at (0.000, 0.500, 0.000), Fe at (0.000, 0.000, 0.500), Ni at (0.500, 0.500, 0.000) and Ge at (0.500, 0.500, 0.500).

The value obtained for the formation energy is 1.101 eV/atom. For the calculated total energy, the calculation gives -6.521 eV per atom.



DFT (PBE) results for a relaxed NpCrFeGe crystal.

The structure belongs to space group F-43m (No. 216); the cell edges are 6.195, 6.195 and 6.195 Å and the angles 90.00°, 90.00° and 90.00°. Symmetry generates all atoms from Np at (0.000, 0.000, 0.000), Cr at (0.250, 0.250, 0.750), Fe at (0.250, 0.250, 0.250) and Ge at (0.000, 0.000, 0.500).

The value obtained for the formation energy is 0.069 eV/atom. For the calculated total energy, the calculation gives -8.842 eV per atom.